# AcVBrO4 | Alexandria | GGA+U | optimized geometry
# Electronic total energy: -6.9579 eV per atom
# Calculated volume: 18.08 Å³ per atom
# DOS(E_F): 0.0000 states/eV/atom
# Total moment: 0.00 μB per formula unit
data_AcVBrO4
_chemical_formula_sum 'Ac4 V4 Br4 O16'
_symmetry_space_group_name_H-M 'C 1 2/m 1'
_symmetry_Int_Tables_number 12
_cell_length_a 12.8583
_cell_length_b 6.3322
_cell_length_c 6.7565
_cell_angle_alpha 90.00
_cell_angle_beta 113.02
_cell_angle_gamma 90.00
loop_
_symmetry_equiv_pos_as_xyz
'x,y,z'
'-x,-y,-z'
'-x,y,-z'
'x,-y,z'
'x+1/2,y+1/2,z'
'-x+1/2,-y+1/2,-z'
'-x+1/2,y+1/2,-z'
'x+1/2,-y+1/2,z'
loop_
_atom_site_label
_atom_site_fract_x
_atom_site_fract_y
_atom_site_fract_z
Ac1 0.1745 0.0000 0.2655
V1 0.1578 0.0000 0.7529
Br1 0.0353 0.5000 0.1876
O1 0.0426 0.0000 0.8303
O2 0.1704 0.2147 0.5959
O3 0.2323 0.5000 0.0043